This record from Alexandria describes a relaxed structure of K2SrNbS4. The functional is PBE.

Cell lengths 7.0783, 7.0783, 7.0783 Å; angles 95.87, 116.67, 116.67 degrees
Site moments in Bohr magnetons follow the coordinates.
Atoms (fractional coordinates):
K 0.5000 0.7500 0.2500  0.00
K 0.0000 0.0000 0.0000  0.01
S 0.4003 0.8248 0.8008  0.00
S 0.9759 0.5754 0.1752  0.00
S 0.0241 0.1992 0.5995  0.00
S 0.5997 0.4005 0.4246  0.00
Nb 0.0000 0.5000 0.5000  0.73
Sr 0.5000 0.2500 0.7500  0.01

Values from the calculation:
The density of states at the Fermi level is 0.3690 states/eV/atom. For the uncorrected formation energy, the calculation gives -1.234 eV/atom.